[1]
Entry from the Alexandria database: a relaxed MnSiAs2 crystal (PBE).

uncorrected energy	-5.640	eV/atom
formation energy without anion corrections	0.333	eV/atom
total magnetization	3.60	Bohr magnetons per cell

a b c (Å): 3.613 3.678 5.268
angles (deg): 90.00 90.00 90.00
Space group Pmmm (No. 47)
Inequivalent atoms, fractional coordinates:
Mn (0.000, 0.000, 0.000)
Si (0.000, 0.500, 0.500)
As (0.500, 0.000, 0.500)
As (0.500, 0.500, 0.000)

---

[2]
Entry from the Alexandria database: a relaxed Ho2ThTaC4 crystal (PBE).

ΔE_f	-258	meV/atom
uncorrected energy	-8.424	eV/atom
total magnetization	0.00	Bohr magnetons per cell

a b c (Å): 6.965 7.054 9.937
angles (deg): 90.00 90.00 90.00
Space group Imma (No. 74)
Inequivalent atoms, fractional coordinates:
Ho (0.000, 0.000, 0.000)
Ho (0.250, 0.250, 0.250)
Th (0.000, 0.000, 0.500)
Ta (0.250, 0.250, 0.750)
C (0.000, 0.024, 0.752)
C (0.248, 0.250, 0.978)

---

[3]
Entry from the Alexandria database: a relaxed ZrAs2Br crystal (PBE).

uncorrected energy	-5.428	eV/atom
formation energy without anion corrections	-0.548	eV/atom
energy above the most stable polymorph in this dataset	0.073	eV per atom
total magnetization	0.00	Bohr magnetons per cell

a b c (Å): 3.636 3.665 6.635
angles (deg): 90.00 90.00 90.00
Space group Pmmm (No. 47)
Inequivalent atoms, fractional coordinates:
Zr (0.000, 0.000, 0.000)
As (0.500, 0.500, 0.190)
Br (0.000, 0.000, 0.500)

---

[4]
Entry from the Alexandria database: a relaxed Ac4InSe3 crystal (PBE).

uncorrected energy	-5.205	eV/atom
formation energy without anion corrections	-1.502	eV/atom
total magnetization	0.00	Bohr magnetons per cell

a b c (Å): 6.463 6.463 12.959
angles (deg): 90.00 90.00 90.00
Space group I4/mmm (No. 139)
Inequivalent atoms, fractional coordinates:
Ac (0.000, 0.000, 0.245)
Ac (0.000, 0.500, 0.000)
In (0.000, 0.000, 0.500)
Se (0.000, 0.000, 0.000)
Se (0.000, 0.500, 0.250)

---

[5]
Entry from the Alexandria database: a relaxed NbVSi2Cl crystal (PBE).

uncorrected energy	-5.060	eV/atom
formation energy without anion corrections	1.316	eV/atom
total magnetization	0.00	Bohr magnetons per cell

a b c (Å): 4.523 4.523 4.421
angles (deg): 90.00 90.00 90.00
Space group P4/mmm (No. 123)
Inequivalent atoms, fractional coordinates:
Nb (0.000, 0.000, 0.000)
V (0.500, 0.500, 0.000)
Si (0.000, 0.500, 0.500)
Cl (0.000, 0.000, 0.500)

---

[6]
Entry from the Alexandria database: a relaxed CdTe crystal (PBE).

uncorrected energy	-1.846	eV/atom
formation energy without anion corrections	0.183	eV/atom
total magnetization	0.00	Bohr magnetons per cell

a b c (Å): 3.3964 3.3964 16.2335
angles (deg): 90.00 90.00 120.00
Space group R-3m (No. 166, hexagonal axes)
Inequivalent atoms, fractional coordinates:
Cd (0.0000, 0.0000, 0.0000)
Te (0.0000, 0.0000, 0.5000)

---

[7]
Entry from the Alexandria database: a relaxed Ca3SeS crystal (PBE).

uncorrected energy	-3.767	eV/atom
formation energy without anion corrections	-1.044	eV/atom
energy above the most stable polymorph in this dataset	0.000	eV per atom
total magnetization	0.00	Bohr magnetons per cell

a b c (Å): 5.330 5.330 5.330
angles (deg): 90.00 90.00 90.00
Space group Pm-3m (No. 221)
Inequivalent atoms, fractional coordinates:
Ca (0.000, 0.000, 0.500)
Se (0.500, 0.500, 0.500)
S (0.000, 0.000, 0.000)

---

[8]
Entry from the Alexandria database: a relaxed Tm5Pt2Au2 crystal (PBE).

ΔE_f	-1020	meV/atom
uncorrected energy	-5.575	eV/atom
total magnetization	0.00	Bohr magnetons per cell

a b c (Å): 15.041 7.418 7.583
angles (deg): 90.00 90.00 90.00
Space group Cmce (No. 64)
Inequivalent atoms, fractional coordinates:
Tm (0.000, 0.000, 0.000)
Tm (0.133, 0.171, 0.330)
Pt (0.000, 0.132, 0.635)
Au (0.206, 0.000, 0.000)